(1)
DFT (PBE) results for an optimized crystal structure of TaMo.

Cell: 3.2288 4.6000 9.0993 Å, 90.00 90.00 90.00°
Atoms (fractional coordinates):
Ta  0.0000  0.0000  0.0000
Ta  0.0000  0.5000  0.2577
Ta  0.0000  0.5000  0.7423
Ta  0.5000  0.5000  0.0000
Mo  0.0000  0.0000  0.5000
Mo  0.5000  0.0000  0.2564
Mo  0.5000  0.0000  0.7436
Mo  0.5000  0.5000  0.5000

calculated formation energy: -0.23 eV/f.u.
total moment: 0.0 μB per cell
crystal system: orthorhombic
total energy: -11.459 eV/atom

---

(2)
DFT (PBE) results for an optimized crystal structure of Y2Tm2Cu3.

Cell: 8.4674 8.4674 8.4674 Å, 33.12 33.12 33.12°
Atoms (fractional coordinates):
Y  0.1246  0.1246  0.1246
Y  0.8754  0.8754  0.8754
Tm  0.3743  0.3743  0.3743
Tm  0.6257  0.6257  0.6257
Cu  0.0000  0.0000  0.0000
Cu  0.2526  0.2526  0.2526
Cu  0.7474  0.7474  0.7474

calculated formation energy: -1.02 eV/f.u.
total moment: 0.0 μB per cell
crystal system: trigonal
total energy: -5.026 eV/atom

---

(3)
DFT (PBE) results for an optimized crystal structure of Mg2InH.

Cell: 4.7899 4.7899 4.7899 Å, 60.00 60.00 60.00°
Atoms (fractional coordinates):
Mg  0.2500  0.2500  0.2500
Mg  0.7500  0.7500  0.7500
In  0.0000  0.0000  0.0000
H  0.5000  0.5000  0.5000

total moment: 0.0 μB per cell
crystal system: cubic
relative energy among the computed polymorphs: 0.4277 eV/atom
total energy: -1.973 eV/atom

---

(4)
DFT (PBE) results for an optimized crystal structure of LiCaPbBr6.

Cell: 7.1683 7.1683 6.3779 Å, 90.00 90.00 120.00°
Atoms (fractional coordinates):
Li  0.0000  0.0000  0.0000
Ca  0.6667  0.3333  0.0000
Pb  0.3333  0.6667  0.5000
Br  0.3181  0.0037  0.2476
Br  0.3181  0.3144  0.7524
Br  0.6856  0.0037  0.7524
Br  0.6856  0.6819  0.2476
Br  0.9963  0.3144  0.2476
Br  0.9963  0.6819  0.7524

uncorrected formation energy: -1.220 eV/atom
total moment: 0.0 μB per cell
crystal system: trigonal
total energy: -3.183 eV/atom

---

(5)
DFT (PBE) results for an optimized crystal structure of RbNaSeF6.

Cell: 5.8442 5.8442 5.8458 Å, 90.00 90.00 120.00°
Atoms (fractional coordinates):
Rb  0.0000  0.0000  0.0000
Na  0.3333  0.6667  0.5000
Se  0.6667  0.3333  0.5000
F  0.3995  0.0467  0.6913
F  0.3995  0.3527  0.3087
F  0.6473  0.0467  0.3087
F  0.6473  0.6005  0.6913
F  0.9533  0.3527  0.6913
F  0.9533  0.6005  0.3087

uncorrected formation energy: -2.262 eV/atom
total moment: 0.0 μB per cell
crystal system: trigonal
total energy: -4.151 eV/atom

---

(6)
DFT (PBE) results for an optimized crystal structure of Er2Tl3AgSe6.

Cell: 7.1886 7.1886 7.7230 Å, 98.85 98.85 119.88°
Atoms (fractional coordinates):
Er  0.1661  0.8339  0.0000
Er  0.8339  0.1661  0.0000
Tl  0.0000  0.0000  0.5000
Tl  0.3253  0.6747  0.5000
Tl  0.6747  0.3253  0.5000
Ag  0.5000  0.5000  0.0000
Se  0.0967  0.4305  0.7899
Se  0.2322  0.2322  0.2202
Se  0.4305  0.0967  0.7899
Se  0.5695  0.9033  0.2101
Se  0.7678  0.7678  0.7798
Se  0.9033  0.5695  0.2101

uncorrected formation energy: -0.911 eV/atom
total moment: 0.0 μB per cell
crystal system: monoclinic
total energy: -4.243 eV/atom